This record from Alexandria via LeMat-Bulk describes an optimized crystal structure of Mg2NbFeO6. The functional is GGA+U.

Cell: 5.200 5.200 5.566 Å, 62.15 62.15 59.99°
Positions (direct):
Mg (0.520, 0.520, 0.439)
Mg (0.026, 0.026, 0.923)
Nb (0.312, 0.312, 0.063)
Fe (0.810, 0.810, 0.571)
O (0.599, 0.212, 0.251)
O (0.212, 0.938, 0.251)
O (0.938, 0.599, 0.251)
O (0.432, 0.707, 0.755)
O (0.707, 0.106, 0.755)
O (0.106, 0.432, 0.755)

Properties
- raw total energy (eV for the cell shown) = -72.31